[1]
The following is a DFT calculation (PBE) of TaTe2RuN after structural relaxation.

Values from the calculation:
For the total energy, the calculation gives -32.3 eV/f.u. The calculation puts the volume at 104.2 Å³/cell. Its magnetization is 1.7 μB per formula unit. For the excess energy over the best structure of this formula in the dataset, the calculation gives 0.0 kJ per mole of atoms.

Cell lengths 5.354, 5.354, 3.634 Å; angles 90.00, 90.00, 90.00 degrees
Space group P4/mmm (No. 123)
One atom of each set of equivalent atoms:
Ta 0.000 0.000 0.000 (multiplicity 1)
Te 0.000 0.500 0.500 (multiplicity 2)
Ru 0.500 0.500 0.500 (multiplicity 1)
N 0.500 0.500 0.000 (multiplicity 1)

[2]
The following is a DFT calculation (PBE) of TaTe2RuN after structural relaxation.

Values from the calculation:
For the total energy, the calculation gives -32.1 eV/f.u. The calculation puts the volume at 115.9 Å³/cell. Its magnetization is 2.0 μB per formula unit. For the excess energy over the best structure of this formula in the dataset, the calculation gives 2.9 kJ per mole of atoms.

Cell lengths 5.500, 5.500, 3.832 Å; angles 90.00, 90.00, 90.00 degrees
Space group P4/mmm (No. 123)
One atom of each set of equivalent atoms:
Ta 0.000 0.000 0.000 (multiplicity 1)
Te 0.000 0.500 0.000 (multiplicity 2)
Ru 0.500 0.500 0.500 (multiplicity 1)
N 0.000 0.000 0.500 (multiplicity 1)

[3]
The following is a DFT calculation (PBE) of Ta2RuWN after structural relaxation.

Values from the calculation:
For the total energy, the calculation gives -46.7 eV/f.u. The calculation puts the volume at 94.0 Å³/cell. Its magnetization is 0.0 μB per formula unit.

Cell lengths 5.003, 5.003, 3.753 Å; angles 90.00, 90.00, 90.00 degrees
Space group P4/mmm (No. 123)
One atom of each set of equivalent atoms:
Ta 0.000 0.500 0.000 (multiplicity 2)
Ru 0.000 0.000 0.500 (multiplicity 1)
W 0.500 0.500 0.000 (multiplicity 1)
N 0.500 0.500 0.500 (multiplicity 1)

[4]
The following is a DFT calculation (PBE) of Tb2RuN after structural relaxation.

Values from the calculation:
For the total energy, the calculation gives -29.8 eV/f.u. The calculation puts the volume at 217.0 Å³/cell. Its magnetization is 0.2 μB per formula unit.

Cell lengths 3.4492, 3.4492, 21.0652 Å; angles 90.00, 90.00, 120.00 degrees
Space group R-3m (No. 166, hexagonal axes)
One atom of each set of equivalent atoms:
Tb 0.0000 0.0000 0.2344 (multiplicity 6)
Ru 0.0000 0.0000 0.0000 (multiplicity 3)
N 0.0000 0.0000 0.5000 (multiplicity 3)

[5]
The following is a DFT calculation (PBE) of TbRuN2 after structural relaxation.

Values from the calculation:
For the total energy, the calculation gives -32.9 eV/f.u. The calculation puts the volume at 141.7 Å³/cell. Its magnetization is 0.0 μB per formula unit.

Cell lengths 3.3659, 3.3659, 14.4469 Å; angles 90.00, 90.00, 120.00 degrees
Space group R-3m (No. 166, hexagonal axes)
One atom of each set of equivalent atoms:
Tb 0.0000 0.0000 0.0000 (multiplicity 3)
Ru 0.0000 0.0000 0.5000 (multiplicity 3)
N 0.0000 0.0000 0.2356 (multiplicity 6)

[6]
The following is a DFT calculation (PBE) of Tb12Ru3N5 after structural relaxation.

Values from the calculation:
For the total energy, the calculation gives -141.2 eV/f.u. The calculation puts the volume at 3524.8 Å³/cell. Its magnetization is 0.0 μB per formula unit.

Cell lengths 15.219, 15.219, 15.219 Å; angles 90.00, 90.00, 90.00 degrees
Space group Ia-3d (No. 230)
One atom of each set of equivalent atoms:
Tb 0.029 0.054 0.652 (multiplicity 96)
Ru 0.000 0.250 0.125 (multiplicity 24)
N 0.000 0.000 0.000 (multiplicity 16)
N 0.000 0.250 0.375 (multiplicity 24)

[7]
The following is a DFT calculation (PBE) of TbRuN after structural relaxation.

Values from the calculation:
For the total energy, the calculation gives -23.5 eV/f.u. The calculation puts the volume at 733.3 Å³/cell. Its magnetization is 0.8 μB per formula unit.

Cell lengths 7.969, 8.543, 10.771 Å; angles 90.00, 90.00, 90.00 degrees
Space group Fddd (No. 70, origin choice 2)
One atom of each set of equivalent atoms:
Tb 0.125 0.125 0.280 (multiplicity 16)
Ru 0.000 0.000 0.500 (multiplicity 16)
N 0.091 0.375 0.375 (multiplicity 16)

[8]
The following is a DFT calculation (PBE) of Tb2ThRuN4 after structural relaxation.

Values from the calculation:
For the total energy, the calculation gives -68.0 eV/f.u. The calculation puts the volume at 468.9 Å³/cell. Its magnetization is 0.0 μB per formula unit.

Cell lengths 3.440, 11.774, 11.577 Å; angles 90.00, 90.00, 90.00 degrees
Space group Cmcm (No. 63)
One atom of each set of equivalent atoms:
Tb 0.000 0.130 0.048 (multiplicity 8)
Th 0.000 0.386 0.250 (multiplicity 4)
Ru 0.000 0.355 0.750 (multiplicity 4)
N 0.000 0.044 0.250 (multiplicity 4)
N 0.000 0.226 0.631 (multiplicity 8)
N 0.000 0.500 0.000 (multiplicity 4)

[9]
The following is a DFT calculation (PBE) of Tb2YRuN4 after structural relaxation.

Values from the calculation:
For the total energy, the calculation gives -66.3 eV/f.u. The calculation puts the volume at 461.0 Å³/cell. Its magnetization is 0.0 μB per formula unit.

Cell lengths 3.397, 11.607, 11.694 Å; angles 90.00, 90.00, 90.00 degrees
Space group Cmcm (No. 63)
One atom of each set of equivalent atoms:
Tb 0.000 0.131 0.042 (multiplicity 8)
Y 0.000 0.371 0.250 (multiplicity 4)
Ru 0.000 0.364 0.750 (multiplicity 4)
N 0.000 0.051 0.250 (multiplicity 4)
N 0.000 0.231 0.632 (multiplicity 8)
N 0.000 0.500 0.000 (multiplicity 4)

[10]
The following is a DFT calculation (PBE) of TbY2RuN4 after structural relaxation.

Values from the calculation:
For the total energy, the calculation gives -68.2 eV/f.u. The calculation puts the volume at 458.3 Å³/cell. Its magnetization is 0.0 μB per formula unit.

Cell lengths 3.390, 11.579, 11.674 Å; angles 90.00, 90.00, 90.00 degrees
Space group Cmcm (No. 63)
One atom of each set of equivalent atoms:
Tb 0.000 0.129 0.250 (multiplicity 4)
Y 0.000 0.369 0.042 (multiplicity 8)
Ru 0.000 0.136 0.750 (multiplicity 4)
N 0.000 0.000 0.000 (multiplicity 4)
N 0.000 0.268 0.631 (multiplicity 8)
N 0.000 0.450 0.250 (multiplicity 4)

[11]
The following is a DFT calculation (PBE) of TcRu3N after structural relaxation.

Values from the calculation:
For the total energy, the calculation gives -44.6 eV/f.u. The calculation puts the volume at 64.7 Å³/cell. Its magnetization is 1.3 μB per formula unit. For the excess energy over the best structure of this formula in the dataset, the calculation gives 0.0 kJ per mole of atoms.

Cell lengths 4.015, 4.015, 4.015 Å; angles 90.00, 90.00, 90.00 degrees
Space group Pm-3m (No. 221)
One atom of each set of equivalent atoms:
Tc 0.000 0.000 0.000 (multiplicity 1)
Ru 0.000 0.500 0.500 (multiplicity 3)
N 0.500 0.500 0.500 (multiplicity 1)

[12]
The following is a DFT calculation (PBE) of Tc2RuN after structural relaxation.

Values from the calculation:
For the total energy, the calculation gives -37.6 eV/f.u. The calculation puts the volume at 145.6 Å³/cell. Its magnetization is 0.0 μB per formula unit.

Cell lengths 2.7545, 2.7545, 22.1593 Å; angles 90.00, 90.00, 120.00 degrees
Space group R-3m (No. 166, hexagonal axes)
One atom of each set of equivalent atoms:
Tc 0.0000 0.0000 0.2322 (multiplicity 6)
Ru 0.0000 0.0000 0.0000 (multiplicity 3)
N 0.0000 0.0000 0.5000 (multiplicity 3)

[13]
The following is a DFT calculation (PBE) of TcRuN3 after structural relaxation.

Values from the calculation:
For the total energy, the calculation gives -37.8 eV/f.u. The calculation puts the volume at 57.4 Å³/cell. Its magnetization is 2.2 μB per formula unit.

Cell lengths 3.857, 3.857, 3.857 Å; angles 90.00, 90.00, 90.00 degrees
Space group Pm-3m (No. 221)
One atom of each set of equivalent atoms:
Tc 0.000 0.000 0.000 (multiplicity 1)
Ru 0.500 0.500 0.500 (multiplicity 1)
N 0.000 0.000 0.500 (multiplicity 3)

[14]
The following is a DFT calculation (PBE) of TcRu3N after structural relaxation.

Values from the calculation:
For the total energy, the calculation gives -32.6 eV/f.u. The calculation puts the volume at 102.1 Å³/cell. Its magnetization is 5.6 μB per formula unit. For the excess energy over the best structure of this formula in the dataset, the calculation gives 230.9 kJ per mole of atoms.

Cell lengths 4.674, 4.674, 4.674 Å; angles 90.00, 90.00, 90.00 degrees
Space group Pm-3m (No. 221)
One atom of each set of equivalent atoms:
Tc 0.000 0.000 0.000 (multiplicity 1)
Ru 0.000 0.000 0.500 (multiplicity 3)
N 0.500 0.500 0.500 (multiplicity 1)

[15]
The following is a DFT calculation (PBE) of Tc2RuN after structural relaxation.

Values from the calculation:
For the total energy, the calculation gives -36.5 eV/f.u. The calculation puts the volume at 249.1 Å³/cell. Its magnetization is 0.0 μB per formula unit.

Cell lengths 5.014, 5.014, 9.911 Å; angles 90.00, 90.00, 90.00 degrees
Space group I-42d (No. 122)
One atom of each set of equivalent atoms:
Tc 0.173 0.250 0.125 (multiplicity 8)
Ru 0.000 0.000 0.500 (multiplicity 4)
N 0.000 0.000 0.000 (multiplicity 4)

[16]
The following is a DFT calculation (PBE) of Tc2RuN after structural relaxation.

Values from the calculation:
For the total energy, the calculation gives -38.0 eV/f.u. The calculation puts the volume at 145.1 Å³/cell. Its magnetization is 0.0 μB per formula unit.

Cell lengths 2.7818, 2.7818, 21.6590 Å; angles 90.00, 90.00, 120.00 degrees
Space group R3m (No. 160, hexagonal axes)
One atom of each set of equivalent atoms:
Tc 0.0000 0.0000 0.0000 (multiplicity 3)
Tc 0.0000 0.0000 0.2012 (multiplicity 3)
Ru 0.0000 0.0000 0.4362 (multiplicity 3)
N 0.0000 0.0000 0.5978 (multiplicity 3)

[17]
The following is a DFT calculation (PBE) of TcRuN3 after structural relaxation.

Values from the calculation:
For the total energy, the calculation gives -36.6 eV/f.u. The calculation puts the volume at 55.1 Å³/cell. Its magnetization is 0.0 μB per formula unit.

Cell lengths 3.805, 3.805, 3.805 Å; angles 90.00, 90.00, 90.00 degrees
Space group Pm-3m (No. 221)
One atom of each set of equivalent atoms:
Tc 0.000 0.000 0.000 (multiplicity 1)
Ru 0.500 0.500 0.500 (multiplicity 1)
N 0.000 0.500 0.500 (multiplicity 3)

[18]
The following is a DFT calculation (PBE) of TiTcRu2N after structural relaxation.

Values from the calculation:
For the total energy, the calculation gives -37.8 eV/f.u. The calculation puts the volume at 79.4 Å³/cell. Its magnetization is 1.8 μB per formula unit.

Cell lengths 4.617, 4.617, 3.726 Å; angles 90.00, 90.00, 90.00 degrees
Space group P4/mmm (No. 123)
One atom of each set of equivalent atoms:
Ti 0.000 0.000 0.000 (multiplicity 1)
Tc 0.500 0.500 0.500 (multiplicity 1)
Ru 0.000 0.500 0.000 (multiplicity 2)
N 0.000 0.000 0.500 (multiplicity 1)

[19]
The following is a DFT calculation (PBE) of Tc2RuWN after structural relaxation.

Values from the calculation:
For the total energy, the calculation gives -51.1 eV/f.u. The calculation puts the volume at 66.4 Å³/cell. Its magnetization is 0.0 μB per formula unit.

Cell lengths 4.026, 4.026, 4.095 Å; angles 90.00, 90.00, 90.00 degrees
Space group P4/mmm (No. 123)
One atom of each set of equivalent atoms:
Tc 0.000 0.500 0.000 (multiplicity 2)
Ru 0.000 0.000 0.500 (multiplicity 1)
W 0.500 0.500 0.500 (multiplicity 1)
N 0.500 0.500 0.000 (multiplicity 1)

[20]
The following is a DFT calculation (PBE) of TcRuW2N after structural relaxation.

Values from the calculation:
For the total energy, the calculation gives -53.8 eV/f.u. The calculation puts the volume at 67.7 Å³/cell. Its magnetization is 0.0 μB per formula unit.

Cell lengths 4.104, 4.104, 4.022 Å; angles 90.00, 90.00, 90.00 degrees
Space group P4/mmm (No. 123)
One atom of each set of equivalent atoms:
Tc 0.000 0.000 0.000 (multiplicity 1)
Ru 0.500 0.500 0.000 (multiplicity 1)
W 0.000 0.500 0.500 (multiplicity 2)
N 0.000 0.000 0.500 (multiplicity 1)

Listing ΔE_f (raw) for the structures above in their given order: 0.69; 0.72; 1.51; -0.74; -0.59; -0.81; -0.44; -1.10; -1.00; -1.01; 0.39; 0.18; 1.37; 2.78; 0.46; 0.09; 1.60; 1.46; 0.03; 0.01 eV/atom.